1.
The following is a DFT calculation (PBEsol) of a relaxed CaLaZrO2 crystal.

a = 4.1906 Å, b = 4.1906 Å, c = 6.2021 Å
α = 90.00°, β = 90.00°, γ = 90.00°
Last column: nearest neighbours and their distance in Å.
Atoms (fractional coordinates):
Ca1 0.0000 0.0000 0.5000  4 La 2.96, 2 Zr 3.10
O1 0.0000 0.5000 0.0000  2 Zr 2.10
O2 0.5000 0.0000 0.0000  2 Zr 2.10
Zr1 0.0000 0.0000 0.0000  4 O 2.10
La1 0.5000 0.5000 0.5000  4 Ca 2.96

## Properties
- Total DFT energy (no corrections): -6.370 eV/atom
- Crystal system: tetragonal



2.
The following is a DFT calculation (PBEsol) of a relaxed CaLaOs2 crystal.

a = 3.1322 Å, b = 3.1322 Å, c = 8.1506 Å
α = 90.00°, β = 90.00°, γ = 90.00°
Last column: nearest neighbours and their distance in Å.
Atoms (fractional coordinates):
Ca1 0.5000 0.5000 0.0000  8 Os 3.01, 4 Ca 3.13
La1 0.5000 0.5000 0.5000  8 Os 3.01, 4 La 3.13
Os1 0.0000 0.0000 0.7506  4 Ca 3.01, 4 La 3.01, 4 Os 3.13
Os2 0.0000 0.0000 0.2494  4 Ca 3.01, 4 La 3.01, 4 Os 3.13

## Properties
- Polymorph energy (0 for the lowest one): 0.40 eV/f.u.
- ΔE_f: 0.705 eV/atom
- Crystal system: tetragonal



3.
The following is a DFT calculation (PBEsol) of a relaxed CaLa2Os crystal.

a = 3.5773 Å, b = 4.7351 Å, c = 7.8719 Å
α = 107.50°, β = 90.00°, γ = 90.00°
Last column: nearest neighbours and their distance in Å.
Atoms (fractional coordinates):
Ca1 0.5000 0.5795 0.1589  2 Os 3.07
Os1 0.0000 0.7455 0.4910  1 La 2.56
La1 0.0000 0.9157 0.8314  1 Os 2.56
La2 0.5000 0.2548 0.5096  4 Os 2.97

## Properties
- Polymorph energy (0 for the lowest one): 0.43 eV/f.u.
- ΔE_f: 0.133 eV/atom
- Crystal system: orthorhombic



4.
The following is a DFT calculation (PBEsol) of a relaxed CaLa2Os crystal.

a = 4.1286 Å, b = 4.1286 Å, c = 9.7885 Å
α = 77.83°, β = 77.83°, γ = 60.00°
Last column: nearest neighbours and their distance in Å.
Atoms (fractional coordinates):
Ca1 0.5000 0.5000 0.5000  6 La 4.04, 6 Ca 4.13
Os1 0.0000 0.0000 0.0000  6 La 2.81
La1 0.2812 0.2812 0.1564  3 Os 2.81
La2 0.7188 0.7188 0.8436  3 Os 2.81

## Properties
- Polymorph energy (0 for the lowest one): 0.00 eV/f.u.
- ΔE_f: 0.028 eV/atom
- Crystal system: trigonal



5.
The following is a DFT calculation (PBEsol) of a relaxed CaLa2Os crystal.

a = 3.4831 Å, b = 3.4831 Å, c = 10.1612 Å
α = 90.00°, β = 90.00°, γ = 90.25°
Last column: nearest neighbours and their distance in Å.
Atoms (fractional coordinates):
Ca1 0.5000 0.5000 0.0000  4 Ca 3.48
Os1 0.5000 0.5000 0.5000  8 La 3.00-3.01
La1 0.0000 0.0000 0.3301  4 Os 3.00-3.01
La2 0.0000 0.0000 0.6699  4 Os 3.00-3.01

## Properties
- Polymorph energy (0 for the lowest one): 0.00 eV/f.u.
- ΔE_f: 0.027 eV/atom
- Crystal system: orthorhombic



6.
The following is a DFT calculation (PBEsol) of a relaxed CaLa3Os crystal.

a = 5.6353 Å, b = 5.6353 Å, c = 5.6353 Å
α = 90.00°, β = 90.00°, γ = 90.00°
Last column: nearest neighbours and their distance in Å.
Atoms (fractional coordinates):
Ca1 0.5000 0.5000 0.5000  12 La 3.98
Os1 0.0000 0.0000 0.0000  6 La 2.82
La1 0.0000 0.5000 0.0000  2 Os 2.82
La2 0.0000 0.0000 0.5000  2 Os 2.82
La3 0.5000 0.0000 0.0000  2 Os 2.82

## Properties
- ΔE_f: -0.024 eV/atom
- Crystal system: cubic



7.
The following is a DFT calculation (PBEsol) of a relaxed CaLaOs2 crystal.

a = 2.9539 Å, b = 5.5171 Å, c = 5.5171 Å
α = 114.72°, β = 102.36°, γ = 102.36°
Last column: nearest neighbours and their distance in Å.
Atoms (fractional coordinates):
Ca1 0.5000 0.0000 0.0000  4 Os 2.84, 2 Ca 2.95, 2 La 2.98
La1 0.5000 0.5000 0.5000  4 Os 2.84, 2 La 2.95, 2 Ca 2.98
Os1 0.0000 0.5000 0.0000  2 La 2.84, 2 Ca 2.84, 4 Os 2.95-2.98
Os2 0.0000 0.0000 0.5000  2 Ca 2.84, 2 La 2.84, 4 Os 2.95-2.98

## Properties
- Polymorph energy (0 for the lowest one): 0.00 eV/f.u.
- ΔE_f: 0.605 eV/atom
- Crystal system: monoclinic



8.
The following is a DFT calculation (PBEsol) of a relaxed RbCaLa2P crystal.

a = 5.4045 Å, b = 5.5902 Å, c = 5.5902 Å
α = 90.00°, β = 90.00°, γ = 90.00°
Last column: nearest neighbours and their distance in Å.
Atoms (fractional coordinates):
P1 0.5000 0.5000 0.5000  8 La 3.89, 4 Rb 3.95
Ca1 0.0000 0.0000 0.0000  2 Rb 2.70, 4 La 2.80
Rb1 0.5000 0.0000 0.0000  2 Ca 2.70
La1 0.0000 0.0000 0.5000  2 Ca 2.80
La2 0.0000 0.5000 0.0000  2 Ca 2.80

## Properties
- ΔE_f: 1.066 eV/atom
- Crystal system: tetragonal



For each record above, in turn, the calculated D(E_F) values are 3.4 6.9 3.9 2.4 4.2 3.6 2.5 5.3 states/eV per cell.
For each record above, in turn, the calculated volume values are 109 80 127 140 123 179 75 169 Å³/cell.